(1)
## KY2Ni2 (PBE-GGA)

Data for a geometry-optimized KY2Ni2 structure.

a = 8.201 Å, b = 8.201 Å, c = 3.562 Å
α = 90.00°, β = 90.00°, γ = 90.00°
Fractional coordinates of all 10 atoms:
Y  0.145  0.645  0.500
Y  0.645  0.855  0.500
Y  0.855  0.355  0.500
Y  0.355  0.145  0.500
Ni  0.376  0.876  0.000
Ni  0.876  0.624  0.000
Ni  0.624  0.124  0.000
Ni  0.124  0.376  0.000
K  0.000  0.000  0.000
K  0.500  0.500  0.000

Computed properties:
Space-group type: P4/mbm (127)
ΔE_f (kJ/mol of formula units): 22


(2)
## Na3HfSc3S8 (PBE-GGA)

Data for a geometry-optimized Na3HfSc3S8 structure.

a = 7.472 Å, b = 7.471 Å, c = 7.992 Å
α = 117.88°, β = 90.00°, γ = 120.00°
Fractional coordinates of all 15 atoms:
Na  0.000  0.000  0.000
Na  0.000  0.500  0.000
Na  0.500  0.500  0.000
Hf  0.000  0.000  0.500
Sc  0.500  0.000  0.500
Sc  0.500  0.500  0.500
Sc  0.000  0.500  0.500
S  0.262  0.523  0.285
S  0.738  0.477  0.715
S  0.765  0.529  0.288
S  0.235  0.471  0.712
S  0.765  0.023  0.288
S  0.235  0.977  0.712
S  0.258  0.023  0.288
S  0.742  0.977  0.712

Computed properties:
Space-group type: R-3m (166)
E_form (uncorrected) (eV per atom): -1.721


(3)
## HoEr5 (PBE-GGA)

Data for a geometry-optimized HoEr5 structure.

a = 6.070 Å, b = 7.011 Å, c = 10.470 Å
α = 90.00°, β = 90.00°, γ = 125.30°
Fractional coordinates of all 12 atoms:
Ho  0.750  0.500  0.250
Ho  0.250  0.500  0.750
Er  0.750  0.000  0.250
Er  0.250  0.000  0.750
Er  0.250  0.000  0.417
Er  0.750  0.000  0.917
Er  0.750  0.000  0.583
Er  0.250  0.000  0.083
Er  0.250  0.500  0.417
Er  0.750  0.500  0.917
Er  0.750  0.500  0.583
Er  0.250  0.500  0.083

Computed properties:
Space-group type: C2/m (12)
ΔE_f (kJ/mol of formula units): 13


(4)
## Pr2Dy3Ru2 (PBE-GGA)

Data for a geometry-optimized Pr2Dy3Ru2 structure.

a = 3.882 Å, b = 6.411 Å, c = 8.924 Å
α = 114.71°, β = 90.00°, γ = 107.62°
Fractional coordinates of all 7 atoms:
Pr  0.836  0.672  0.199
Pr  0.164  0.328  0.801
Dy  0.500  0.000  0.000
Dy  0.623  0.245  0.425
Dy  0.377  0.755  0.575
Ru  0.824  0.647  0.766
Ru  0.176  0.353  0.234

Computed properties:
Space-group type: C2/m (12)
ΔE_f (kJ/mol of formula units): -186


(5)
## SmH2 (PBE-GGA)

Data for a geometry-optimized SmH2 structure.

a = 3.796 Å, b = 3.796 Å, c = 3.796 Å
α = 60.00°, β = 60.00°, γ = 60.00°
Fractional coordinates of all 3 atoms:
H  0.250  0.250  0.250
H  0.750  0.750  0.750
Sm  0.000  0.000  0.000

Computed properties:
Total energy (eV/f.u.): -13.45
Space-group type: Fm-3m (225)


(6)
## Ac2MgInGe (PBE-GGA)

Data for a geometry-optimized Ac2MgInGe structure.

a = 4.993 Å, b = 7.952 Å, c = 8.178 Å
α = 98.90°, β = 90.00°, γ = 90.00°
Fractional coordinates of all 10 atoms:
Ac  0.750  0.859  0.568
Ac  0.750  0.751  0.024
Ac  0.250  0.141  0.432
Ac  0.250  0.249  0.976
Mg  0.250  0.553  0.659
Mg  0.750  0.447  0.341
In  0.250  0.640  0.299
In  0.750  0.360  0.701
Ge  0.250  0.878  0.802
Ge  0.750  0.122  0.198

Computed properties:
Space-group type: P2_1/m (11)
ΔE_f (kJ/mol of formula units): -211


(7)
## Tb3Nd2ErSe6 (PBE-GGA)

Data for a geometry-optimized Tb3Nd2ErSe6 structure.

a = 4.110 Å, b = 8.316 Å, c = 9.230 Å
α = 102.90°, β = 102.86°, γ = 90.00°
Fractional coordinates of all 12 atoms:
Tb  0.500  0.500  0.000
Tb  0.829  0.166  0.657
Tb  0.171  0.834  0.343
Nd  0.831  0.663  0.662
Nd  0.169  0.337  0.338
Er  0.500  0.000  0.000
Se  0.337  0.927  0.674
Se  0.663  0.590  0.325
Se  0.663  0.073  0.326
Se  0.996  0.244  0.993
Se  0.004  0.756  0.007
Se  0.337  0.410  0.675

Computed properties:
Space-group type: C2/m (12)
E_form (uncorrected) (eV per atom): -1.781


(8)
## Pr2DyHo9 (PBE-GGA)

Data for a geometry-optimized Pr2DyHo9 structure.

a = 3.491 Å, b = 11.259 Å, c = 11.259 Å
α = 120.00°, β = 90.00°, γ = 90.00°
Fractional coordinates of all 12 atoms:
Pr  0.000  0.333  0.667
Pr  0.000  0.667  0.333
Dy  0.000  0.000  0.000
Ho  0.000  0.000  0.500
Ho  0.000  0.500  0.500
Ho  0.000  0.500  0.000
Ho  0.500  0.346  0.173
Ho  0.500  0.173  0.827
Ho  0.500  0.173  0.346
Ho  0.500  0.827  0.654
Ho  0.500  0.827  0.173
Ho  0.500  0.654  0.827

Computed properties:
Space-group type: P6/mmm (191)
ΔE_f (kJ/mol of formula units): 87
Excess energy over the best structure of this formula in the dataset (meV per atom): 51